## P
Compound: KSiW3
Source: the Alexandria database
Functional: PBE-GGA
Structure: relaxed

Output
magnetization	0.0	μB/cell
volume	103.5	Å³ per cell
space group	No. 221

abc: 4.695 4.695 4.695
angles: 90.00 90.00 90.00
Fractional positions:
1 K 0.500 0.500 0.500
2 Si 0.000 0.000 0.000
3 W 0.000 0.500 0.000
4 W 0.000 0.000 0.500
5 W 0.500 0.000 0.000



## Q
Compound: KSiW3
Source: the Alexandria database
Functional: PBE-GGA
Structure: relaxed

Output
magnetization	0.0	μB/cell
volume	92.8	Å³ per cell
space group	No. 221

abc: 4.527 4.527 4.527
angles: 90.00 90.00 90.00
Fractional positions:
1 K 0.000 0.000 0.000
2 Si 0.500 0.500 0.500
3 W 0.000 0.500 0.000
4 W 0.000 0.000 0.500
5 W 0.500 0.000 0.000



The most stable of them is P.



## P
Compound: KYSi
Source: the Alexandria database
Functional: PBE-GGA
Structure: relaxed

Output
magnetization	1.0	μB/cell
volume	213.6	Å³ per cell
space group	No. 12

abc: 10.749 5.688 5.688
angles: 75.79 118.37 61.63
Fractional positions:
1 Y 0.000 0.795 0.795
2 Y 0.000 0.205 0.205
3 K 0.536 0.197 0.803
4 K 0.464 0.803 0.197
5 Si 0.974 0.355 0.645
6 Si 0.026 0.645 0.355



## Q
Compound: KYSi
Source: the Alexandria database
Functional: PBE-GGA
Structure: relaxed

Output
magnetization	0.0	μB/cell
volume	221.1	Å³ per cell
space group	No. 11

abc: 4.277 3.867 13.371
angles: 90.00 89.88 90.00
Fractional positions:
1 Y 0.249 0.250 0.092
2 Y 0.751 0.750 0.908
3 K 0.748 0.250 0.346
4 K 0.252 0.750 0.654
5 Si 0.251 0.250 0.870
6 Si 0.749 0.750 0.130



The most stable of them is Q.



## P
Compound: KYSi3
Source: the Alexandria database
Functional: PBE-GGA
Structure: relaxed

Output
magnetization	0.0	μB/cell
volume	132.3	Å³ per cell
space group	No. 221

abc: 5.096 5.096 5.096
angles: 90.00 90.00 90.00
Fractional positions:
1 Y 0.500 0.500 0.500
2 K 0.000 0.000 0.000
3 Si 0.000 0.500 0.000
4 Si 0.000 0.000 0.500
5 Si 0.500 0.000 0.000



## Q
Compound: KYSi3
Source: the Alexandria database
Functional: PBE-GGA
Structure: relaxed

Output
magnetization	0.0	μB/cell
volume	159.7	Å³ per cell
space group	No. 221

abc: 5.425 5.425 5.425
angles: 90.00 90.00 90.00
Fractional positions:
1 Y 0.000 0.000 0.000
2 K 0.500 0.500 0.500
3 Si 0.000 0.500 0.000
4 Si 0.000 0.000 0.500
5 Si 0.500 0.000 0.000



The most stable of them is Q.



## P
Compound: KY3Si
Source: the Alexandria database
Functional: PBE-GGA
Structure: relaxed

Output
magnetization	0.0	μB/cell
volume	143.6	Å³ per cell
space group	No. 221

abc: 5.236 5.236 5.236
angles: 90.00 90.00 90.00
Fractional positions:
1 Y 0.000 0.500 0.000
2 Y 0.000 0.000 0.500
3 Y 0.500 0.000 0.000
4 K 0.000 0.000 0.000
5 Si 0.500 0.500 0.500



## Q
Compound: KY3Si
Source: the Alexandria database
Functional: PBE-GGA
Structure: relaxed

Output
magnetization	1.6	μB/cell
volume	178.6	Å³ per cell
space group	No. 221

abc: 5.632 5.632 5.632
angles: 90.00 90.00 90.00
Fractional positions:
1 Y 0.000 0.500 0.000
2 Y 0.000 0.000 0.500
3 Y 0.500 0.000 0.000
4 K 0.500 0.500 0.500
5 Si 0.000 0.000 0.000



The most stable of them is Q.



## P
Compound: KZn2Si2
Source: the Alexandria database
Functional: PBE-GGA
Structure: relaxed

Output
magnetization	0.0	μB/cell
volume	99.9	Å³ per cell
space group	No. 139

abc: 4.198 4.198 6.401
angles: 70.86 70.86 90.00
Fractional positions:
1 Zn 0.385 0.385 0.231
2 Zn 0.615 0.615 0.769
3 Si 0.750 0.250 0.500
4 Si 0.250 0.750 0.500
5 K 0.000 0.000 0.000



## Q
Compound: KZn2Si2
Source: the Alexandria database
Functional: PBE-GGA
Structure: relaxed

Output
magnetization	0.0	μB/cell
volume	188.0	Å³ per cell
space group	No. 127

abc: 8.204 8.204 2.794
angles: 90.00 90.00 90.00
Fractional positions:
1 Zn 0.367 0.867 0.000
2 Zn 0.867 0.633 0.000
3 Zn 0.633 0.133 0.000
4 Zn 0.133 0.367 0.000
5 Si 0.152 0.652 0.500
6 Si 0.652 0.848 0.500
7 Si 0.848 0.348 0.500
8 Si 0.348 0.152 0.500
9 K 0.000 0.000 0.000
10 K 0.500 0.500 0.000



## R
Compound: KZn2Si2
Source: the Alexandria database
Functional: PBE-GGA
Structure: relaxed

Output
magnetization	0.0	μB/cell
volume	98.7	Å³ per cell
space group	No. 139

abc: 4.360 4.360 6.040
angles: 68.84 68.84 90.00
Fractional positions:
1 Zn 0.750 0.250 0.500
2 Zn 0.250 0.750 0.500
3 Si 0.384 0.384 0.232
4 Si 0.616 0.616 0.768
5 K 0.000 0.000 0.000



The most stable of them is R.



## P
Compound: KZrSi
Source: the Alexandria database
Functional: PBE-GGA
Structure: relaxed

Output
magnetization	0.7	μB/cell
volume	74.5	Å³ per cell
space group	No. 187

abc: 4.986 4.986 3.463
angles: 90.00 90.00 120.00
Fractional positions:
1 K 0.000 0.000 0.000
2 Si 0.667 0.333 0.501
3 Zr 0.333 0.667 0.499



## Q
Compound: KZrSi
Source: the Alexandria database
Functional: PBE-GGA
Structure: relaxed

Output
magnetization	0.0	μB/cell
volume	77.1	Å³ per cell
space group	No. 42

abc: 8.283 8.222 3.122
angles: 80.19 78.01 21.80
Fractional positions:
1 K 0.978 0.978 0.022
2 Si 0.318 0.318 0.682
3 Zr 0.704 0.704 0.296



The most stable of them is Q.